# MgTi3Ir | the Alexandria database | PBE-GGA | relaxed
data_MgTi3Ir
_cell_length_a 4.799
_cell_length_b 4.799
_cell_length_c 4.799
_cell_angle_alpha 90.00
_cell_angle_beta 90.00
_cell_angle_gamma 90.00
_symmetry_space_group_name_H-M 'P m -3 m'
_symmetry_Int_Tables_number 221
_symmetry_space_group_name_Hall '-P 4 2 3'
loop_
_atom_site_label
_atom_site_type_symbol
_atom_site_fract_x
_atom_site_fract_y
_atom_site_fract_z
Mg1 Mg 0.000 0.000 0.000
Ti1 Ti 0.000 0.500 0.500
Ir1 Ir 0.500 0.500 0.500
# total magnetic moment = 0.0 μB per cell
# distance to the lowest polymorph of the same formula = 0 meV/atom
# formation energy from the elements = 0.260 eV per atom